[1]
Below is AcBiPd after structural relaxation, with properties calculated at the PBE-GGA level.

a = 4.922 Å, b = 7.130 Å, c = 10.436 Å
α = 90.00°, β = 90.00°, γ = 90.00°
Sites, in units of the cell vectors:
Pd: 0.250 0.010 0.650
Pd: 0.750 0.510 0.850
Pd: 0.250 0.490 0.150
Pd: 0.750 0.990 0.350
Bi: 0.250 0.734 0.867
Bi: 0.250 0.766 0.367
Bi: 0.750 0.234 0.633
Bi: 0.750 0.266 0.133
Ac: 0.750 0.735 0.611
Ac: 0.250 0.265 0.389
Ac: 0.250 0.235 0.889
Ac: 0.750 0.765 0.111

Output
For the mass density, the calculation gives 9.84 Mg/m³. The value obtained for the formation energy is -0.859 eV/atom. The value obtained for the electronic total energy is -0.193 hartree per atom. As for the distance to the lowest polymorph of the same formula: 0.060 eV/atom.

[2]
Below is AcBi2Pd4 after structural relaxation, with properties calculated at the PBE-GGA level.

a = 4.556 Å, b = 8.271 Å, c = 8.271 Å
α = 90.00°, β = 90.00°, γ = 90.00°
Sites, in units of the cell vectors:
Pd: 0.000 0.100 0.363
Pd: 0.500 0.137 0.600
Pd: 0.000 0.900 0.637
Pd: 0.500 0.400 0.863
Pd: 0.500 0.600 0.137
Pd: 0.000 0.637 0.900
Pd: 0.000 0.363 0.100
Pd: 0.500 0.863 0.400
Ac: 0.500 0.000 0.000
Ac: 0.000 0.500 0.500
Bi: 0.500 0.716 0.716
Bi: 0.000 0.216 0.784
Bi: 0.000 0.784 0.216
Bi: 0.500 0.284 0.284

Output
For the mass density, the calculation gives 11.41 Mg/m³. The value obtained for the formation energy is -0.498 eV/atom. The value obtained for the electronic total energy is -0.190 hartree per atom. As for the distance to the lowest polymorph of the same formula: 0.034 eV/atom.